# Ba8InAg2Ir

An optimized crystal structure of Ba8InAg2Ir (PBE, the Alexandria database).

For the total magnetic moment, the calculation gives 0.0 μB per formula unit. The density comes out at 4.3 g cm⁻³. As for the total DFT energy (no corrections): -34.59 eV per formula unit.

It has space group P2/m (No. 10), with a = 7.759 Å, b = 10.049 Å, c = 7.941 Å, α = 90.00°, β = 90.84° and γ = 90.00°. The distinct sites, in fractional coordinates, are Ba at (0.220, 0.220, 0.165), Ba at (0.249, 0.000, 0.691), Ba at (0.272, 0.500, 0.661), In at (0.000, 0.500, 0.000), Ag at (0.500, 0.242, 0.500) and Ir at (0.000, 0.000, 0.000).


# NaBi2Ir

An optimized crystal structure of NaBi2Ir (PBE, the Alexandria database).

For the total magnetic moment, the calculation gives 0.0 μB per formula unit. The density comes out at 11.8 g cm⁻³. As for the total DFT energy (no corrections): -17.71 eV per formula unit. As for the energy above the most stable polymorph in this dataset: 89 meV/atom.

It has space group Fm-3m (No. 225), with a = 7.080 Å, b = 7.080 Å, c = 7.080 Å, α = 90.00°, β = 90.00° and γ = 90.00°. The distinct sites, in fractional coordinates, are Na at (0.000, 0.000, 0.000), Bi at (0.250, 0.250, 0.250) and Ir at (0.000, 0.000, 0.500).


# LiTm2Pt3

An optimized crystal structure of LiTm2Pt3 (PBE, the Alexandria database).

For the total magnetic moment, the calculation gives 0.0 μB per formula unit. The density comes out at 13.7 g cm⁻³. As for the total DFT energy (no corrections): -35.53 eV per formula unit. As for the energy above the most stable polymorph in this dataset: 19 meV/atom.

It has space group C2/m (No. 12), with a = 8.221 Å, b = 4.776 Å, c = 5.738 Å, α = 90.00°, β = 90.48° and γ = 90.00°. The distinct sites, in fractional coordinates, are Li at (0.000, 0.000, 0.000), Tm at (0.165, 0.500, 0.306), Pt at (0.000, 0.000, 0.500) and Pt at (0.170, 0.500, 0.812).


# TbPrHg

An optimized crystal structure of TbPrHg (PBE, the Alexandria database).

For the total magnetic moment, the calculation gives 0.0 μB per formula unit. The density comes out at 9.2 g cm⁻³. As for the total DFT energy (no corrections): -10.71 eV per formula unit. As for the energy above the most stable polymorph in this dataset: 0 meV/atom.

It has space group Pnma (No. 62), with a = 7.446 Å, b = 5.145 Å, c = 9.404 Å, α = 90.00°, β = 90.00° and γ = 90.00°. The distinct sites, in fractional coordinates, are Tb at (0.162, 0.250, 0.074), Pr at (0.015, 0.250, 0.689) and Hg at (0.248, 0.750, 0.895).


# Dy2NiB10

An optimized crystal structure of Dy2NiB10 (PBE, the Alexandria database).

For the total magnetic moment, the calculation gives 0.0 μB per formula unit. The density comes out at 6.4 g cm⁻³. As for the total DFT energy (no corrections): -88.40 eV per formula unit.

It has space group Pbam (No. 55), with a = 5.553 Å, b = 11.081 Å, c = 4.143 Å, α = 90.00°, β = 90.00° and γ = 90.00°. The distinct sites, in fractional coordinates, are Dy at (0.186, 0.137, 0.000), Ni at (0.000, 0.500, 0.500), B at (0.030, 0.313, 0.500), B at (0.126, 0.959, 0.500), B at (0.159, 0.802, 0.500) and B at (0.201, 0.386, 0.199).


# CdSnH6Ir2

An optimized crystal structure of CdSnH6Ir2 (PBE, the Alexandria database).

For the total magnetic moment, the calculation gives 0.0 μB per formula unit. The density comes out at 8.1 g cm⁻³. As for the total DFT energy (no corrections): -42.03 eV per formula unit.

It has space group C2/c (No. 15), with a = 8.378 Å, b = 13.263 Å, c = 5.587 Å, α = 90.00°, β = 124.36° and γ = 90.00°. The distinct sites, in fractional coordinates, are Cd at (0.000, 0.039, 0.250), Sn at (0.000, 0.317, 0.750), H at (0.109, 0.437, 0.489), H at (0.172, 0.111, 0.819), H at (0.224, 0.333, 0.383) and Ir at (0.164, 0.439, 0.213).


# SrLa2Te

An optimized crystal structure of SrLa2Te (PBE, the Alexandria database).

For the total magnetic moment, the calculation gives 0.0 μB per formula unit. The density comes out at 6.0 g cm⁻³. The calculation puts the formation energy without anion corrections at -0.227 eV per atom. As for the total DFT energy (no corrections): -15.59 eV per formula unit.

It has space group F-43m (No. 216), with a = 8.160 Å, b = 8.160 Å, c = 8.160 Å, α = 90.00°, β = 90.00° and γ = 90.00°. The distinct sites, in fractional coordinates, are Sr at (0.000, 0.000, 0.000), La at (0.000, 0.000, 0.500), La at (0.250, 0.250, 0.750) and Te at (0.250, 0.250, 0.250).


# Tl2ICl3

An optimized crystal structure of Tl2ICl3 (PBE, the Alexandria database).

For the total magnetic moment, the calculation gives 0.0 μB per formula unit. The density comes out at 4.7 g cm⁻³. The calculation puts the formation energy without anion corrections at -0.621 eV per atom. As for the total DFT energy (no corrections): -15.55 eV per formula unit.

It has space group Immm (No. 71), with a = 4.089 Å, b = 5.136 Å, c = 21.687 Å, α = 90.00°, β = 90.00° and γ = 90.00°. The distinct sites, in fractional coordinates, are Tl at (0.000, 0.000, 0.175), I at (0.000, 0.000, 0.500), Cl at (0.000, 0.000, 0.310) and Cl at (0.000, 0.500, 0.500).


# AlAs2Ir

An optimized crystal structure of AlAs2Ir (PBE, the Alexandria database).

For the total magnetic moment, the calculation gives 0.0 μB per formula unit. The density comes out at 9.0 g cm⁻³. As for the total DFT energy (no corrections): -21.58 eV per formula unit.

It has space group C2/m (No. 12), with a = 5.312 Å, b = 9.647 Å, c = 3.682 Å, α = 90.00°, β = 133.67° and γ = 90.00°. The distinct sites, in fractional coordinates, are Al at (0.000, 0.000, 0.000), As at (0.250, 0.250, 0.500) and Ir at (0.000, 0.500, 0.000).


# YThTeRu

An optimized crystal structure of YThTeRu (PBE, the Alexandria database).

For the total magnetic moment, the calculation gives 0.0 μB per formula unit. The density comes out at 8.2 g cm⁻³. The calculation puts the formation energy without anion corrections at -0.807 eV per atom. As for the total DFT energy (no corrections): -29.53 eV per formula unit.

It has space group Cm (No. 8), with a = 7.185 Å, b = 4.146 Å, c = 7.835 Å, α = 90.00°, β = 107.85° and γ = 90.00°. The distinct sites, in fractional coordinates, are Y at (0.000, 0.000, 0.000), Th at (0.198, 0.000, 0.593), Te at (0.260, 0.500, 0.279) and Ru at (0.093, 0.500, 0.780).


# MgPPtS2

An optimized crystal structure of MgPPtS2 (PBE, the Alexandria database).

For the total magnetic moment, the calculation gives 0.0 μB per formula unit. The density comes out at 5.1 g cm⁻³. The calculation puts the formation energy without anion corrections at 0.921 eV per atom. As for the total DFT energy (no corrections): -16.69 eV per formula unit. As for the energy above the most stable polymorph in this dataset: 681 meV/atom.

It has space group P4/mmm (No. 123), with a = 4.618 Å, b = 4.618 Å, c = 4.767 Å, α = 90.00°, β = 90.00° and γ = 90.00°. The distinct sites, in fractional coordinates, are Mg at (0.000, 0.000, 0.000), P at (0.000, 0.000, 0.500), Pt at (0.500, 0.500, 0.500) and S at (0.000, 0.500, 0.000).


# Pr6SmGa2

An optimized crystal structure of Pr6SmGa2 (PBE, the Alexandria database).

For the total magnetic moment, the calculation gives 0.0 μB per formula unit. The density comes out at 6.6 g cm⁻³. As for the total DFT energy (no corrections): -41.50 eV per formula unit.

It has space group C2/m (No. 12), with a = 12.970 Å, b = 3.822 Å, c = 12.226 Å, α = 90.00°, β = 110.12° and γ = 90.00°. The distinct sites, in fractional coordinates, are Pr at (0.027, 0.000, 0.323), Pr at (0.189, 0.500, 0.592), Pr at (0.190, 0.500, 0.875), Sm at (0.000, 0.000, 0.000) and Ga at (0.146, 0.500, 0.197).


Among the records above, which one has the highest total DFT energy (no corrections)?
TbPrHg